Model A:
First-principles (GGA-PBE) data for a geometry-optimized CsCuNF2 structure, as listed in the Alexandria database.

Results
**M_tot**: 0.45 μB per atom
**ρ**: 5.1 g cm⁻³

abc: 4.592 4.592 3.804
angles: 90.00 90.00 90.00
Each line ends with the local moment (μB).
Atoms (fractional coordinates):
F (0.000, 0.500, 0.000)  0.06
F (0.500, 0.000, 0.000)  0.06
Cu (0.000, 0.000, 0.000)  0.35
Cs (0.500, 0.500, 0.500)  0.03
N (0.000, 0.000, 0.500)  1.19


Model B:
First-principles (GGA-PBE) data for a geometry-optimized CsCuNF2 structure, as listed in the Alexandria database.

Results
**M_tot**: 0.40 μB per atom
**ρ**: 3.1 g cm⁻³

abc: 5.261 5.261 4.754
angles: 90.00 90.00 90.00
Each line ends with the local moment (μB).
Atoms (fractional coordinates):
Cu (0.500, 0.500, 0.500)  0.01
N (0.000, 0.000, 0.500)  1.20
F (0.500, 0.000, 0.000)  0.07
F (0.000, 0.500, 0.000)  0.07
Cs (0.000, 0.000, 0.000)  0.13


Least stable structure among those shown: model B.